[1]
Density functional theory data (PBE) for an optimized crystal structure of AcMg5Pb2.

Computed properties:
**Energy of formation**: -0.160 eV per atom

abc: 4.5865 7.4178 7.4178
angles: 72.04 71.99 71.99
With the nearest neighbours (Å) after each atom.
Sites, in units of the cell vectors:
Mg: 0.6398 0.5415 0.1790  3 Pb 2.98-3.11, 4 Mg 3.10-3.19
Pb: 0.7355 0.7645 0.7645  7 Mg 2.93-3.11
Mg: 0.0000 0.5000 0.5000  2 Pb 2.93, 8 Mg 3.19
Mg: 0.3602 0.4585 0.8210  3 Pb 2.98-3.11, 4 Mg 3.10-3.19
Pb: 0.2645 0.2355 0.2355  7 Mg 2.93-3.11
Ac: 0.0000 0.0000 0.0000  4 Pb 3.48
Mg: 0.6398 0.1790 0.5415  3 Pb 2.98-3.11, 4 Mg 3.10-3.19
Mg: 0.3602 0.8210 0.4585  3 Pb 2.98-3.11, 4 Mg 3.10-3.19

[2]
Density functional theory data (PBE) for an optimized crystal structure of AcMg2Pb.

Computed properties:
**Energy of formation**: -0.264 eV per atom
**Energy above the most stable polymorph in this dataset**: 0 meV per atom

abc: 4.8808 10.4760 9.7644
angles: 90.00 104.47 90.00
With the nearest neighbours (Å) after each atom.
Sites, in units of the cell vectors:
Ac: 0.5000 0.5000 0.0000  4 Pb 3.68, 10 Mg 3.69-4.10
Mg: 0.1055 0.7500 0.2110  1 Mg 2.87, 2 Pb 3.01
Mg: 0.0465 0.2500 0.0930  1 Mg 2.87, 2 Pb 2.98
Ac: 0.3053 0.7500 0.6107  4 Pb 3.50, 9 Mg 3.56-3.78
Mg: 0.3071 0.1073 0.6141  3 Pb 2.96-3.17, 3 Mg 2.99-3.31
Ac: 0.6947 0.2500 0.3893  4 Pb 3.50, 9 Mg 3.56-3.78
Mg: 0.6929 0.8927 0.3859  3 Pb 2.96-3.17, 3 Mg 2.99-3.31
Pb: 0.1451 0.0280 0.2902  5 Mg 2.96-3.17
Pb: 0.1451 0.4720 0.2902  5 Mg 2.96-3.17
Mg: 0.8945 0.2500 0.7890  1 Mg 2.87, 2 Pb 3.01
Mg: 0.9535 0.7500 0.9070  1 Mg 2.87, 2 Pb 2.98
Pb: 0.8549 0.9720 0.7098  5 Mg 2.96-3.17
Ac: 0.5000 0.0000 0.0000  4 Pb 3.68, 10 Mg 3.69-4.10
Pb: 0.8549 0.5280 0.7098  5 Mg 2.96-3.17
Mg: 0.6929 0.6073 0.3859  3 Pb 2.96-3.17, 3 Mg 2.99-3.31
Mg: 0.3071 0.3927 0.6141  3 Pb 2.96-3.17, 3 Mg 2.99-3.31

[3]
Density functional theory data (PBE) for an optimized crystal structure of AcMg4Pb8.

Computed properties:
**Energy of formation**: -0.115 eV per atom

abc: 6.2057 8.4074 8.4074
angles: 82.17 68.34 68.34
With the nearest neighbours (Å) after each atom.
Sites, in units of the cell vectors:
Pb: 0.5000 0.7875 0.2125  4 Mg 3.20, 4 Pb 3.32-3.43
Ac: 0.0000 0.0000 0.0000  12 Pb 3.81-3.89, 8 Mg 4.20
Mg: 0.0000 0.0000 0.5000  2 Mg 3.10, 8 Pb 3.20-3.34
Pb: 0.2875 0.2125 0.2125  4 Mg 3.20, 4 Pb 3.32-3.43
Mg: 0.0000 0.5000 0.0000  2 Mg 3.10, 8 Pb 3.20-3.34
Pb: 0.6552 0.3448 0.3448  4 Mg 3.34, 5 Pb 3.43-3.61
Pb: 0.0000 0.3448 0.6552  4 Mg 3.34, 5 Pb 3.43-3.61
Pb: 0.5000 0.2125 0.7875  4 Mg 3.20, 4 Pb 3.32-3.43
Mg: 0.5000 0.0000 0.5000  2 Mg 3.10, 8 Pb 3.20-3.34
Pb: 0.7125 0.7875 0.7875  4 Mg 3.20, 4 Pb 3.32-3.43
Mg: 0.5000 0.5000 0.0000  2 Mg 3.10, 8 Pb 3.20-3.34
Pb: 0.3448 0.6552 0.6552  4 Mg 3.34, 5 Pb 3.43-3.61
Pb: 0.0000 0.6552 0.3448  4 Mg 3.34, 5 Pb 3.43-3.61

Magnetization? In order: 0.0 0.0 0.0 μB/f.u..